a | ! MgSbTe2Mo PBE-GGA relaxed; values from VASP
! DOS(E_F): 0.862 states/eV/atom
&SYSTEM
  ibrav = 0, nat = 5, ntyp = 4
/
ATOMIC_SPECIES
Mg 24.30 Mg.upf
Sb 121.76 Sb.upf
Te 127.60 Te.upf
Mo 95.94 Mo.upf
CELL_PARAMETERS angstrom
5.3576 0.0000 0.0000
0.0000 5.3576 0.0000
0.0000 0.0000 5.2596
ATOMIC_POSITIONS crystal
Mg 0.0000 0.0000 0.0000
Sb 0.5000 0.5000 0.0000
Te 0.0000 0.5000 0.5000
Te 0.5000 0.0000 0.5000
Mo 0.5000 0.5000 0.5000

***

b | ! MgSbTe2Mo PBE-GGA relaxed; values from VASP
! DOS(E_F): 1.006 states/eV/atom
&SYSTEM
  ibrav = 0, nat = 5, ntyp = 4
/
ATOMIC_SPECIES
Mg 24.30 Mg.upf
Sb 121.76 Sb.upf
Te 127.60 Te.upf
Mo 95.94 Mo.upf
CELL_PARAMETERS angstrom
5.4210 0.0000 0.0000
0.0000 5.4210 0.0000
0.0000 0.0000 5.2591
ATOMIC_POSITIONS crystal
Mg 0.0000 0.0000 0.0000
Sb 0.0000 0.0000 0.5000
Te 0.0000 0.5000 0.0000
Te 0.5000 0.0000 0.0000
Mo 0.5000 0.5000 0.5000

***

Computed stability ranking, most favorable first: a, b

***

a | ! Mg2ScMo PBE-GGA relaxed; values from VASP
! DOS(E_F): 0.942 states/eV/atom
&SYSTEM
  ibrav = 0, nat = 4, ntyp = 3
/
ATOMIC_SPECIES
Mg 24.30 Mg.upf
Sc 44.96 Sc.upf
Mo 95.94 Mo.upf
CELL_PARAMETERS angstrom
2.8749 0.0000 0.0000
0.0000 5.0443 0.0000
-0.9154 0.0000 5.3795
ATOMIC_POSITIONS crystal
Mg 0.2211 0.0000 0.2662
Mg 0.7789 0.0000 0.7338
Sc 0.5000 0.5000 0.0000
Mo 0.0000 0.5000 0.5000

***

b | ! Mg2ScMo PBE-GGA relaxed; values from VASP
! DOS(E_F): 1.453 states/eV/atom
&SYSTEM
  ibrav = 0, nat = 4, ntyp = 3
/
ATOMIC_SPECIES
Mg 24.30 Mg.upf
Sc 44.96 Sc.upf
Mo 95.94 Mo.upf
CELL_PARAMETERS angstrom
1.4879 0.8590 10.3946
-1.4879 0.8590 10.3946
0.0000 -1.7181 10.3946
ATOMIC_POSITIONS crystal
Mg 0.2431 0.2431 0.2431
Mg 0.7569 0.7569 0.7569
Sc 0.0000 0.0000 0.0000
Mo 0.5000 0.5000 0.5000

***

Computed stability ranking, most favorable first: a, b

***

a | ! MgMoSe PBE-GGA relaxed; values from VASP
! DOS(E_F): 0.798 states/eV/atom
&SYSTEM
  ibrav = 0, nat = 3, ntyp = 3
/
ATOMIC_SPECIES
Mg 24.30 Mg.upf
Mo 95.94 Mo.upf
Se 78.96 Se.upf
CELL_PARAMETERS angstrom
-1.6203 1.6203 5.1651
1.6203 -1.6203 5.1651
1.6203 1.6203 -5.1651
ATOMIC_POSITIONS crystal
Mg 0.0000 0.0000 0.0000
Mo 0.6856 0.6856 0.0000
Se 0.2980 0.2980 0.0000

***

b | ! MgMoSe PBE-GGA relaxed; values from VASP
! DOS(E_F): 0.454 states/eV/atom
&SYSTEM
  ibrav = 0, nat = 3, ntyp = 3
/
ATOMIC_SPECIES
Mg 24.30 Mg.upf
Mo 95.94 Mo.upf
Se 78.96 Se.upf
CELL_PARAMETERS angstrom
3.2066 0.0000 0.0000
-1.6033 2.7770 0.0000
0.0000 0.0000 6.4263
ATOMIC_POSITIONS crystal
Mg 0.0000 0.0000 0.0000
Mo 0.6667 0.3333 0.3453
Se 0.3333 0.6667 0.6064

***

c | ! MgMoSe PBE-GGA relaxed; values from VASP
! DOS(E_F): 0.409 states/eV/atom
&SYSTEM
  ibrav = 0, nat = 3, ntyp = 3
/
ATOMIC_SPECIES
Mg 24.30 Mg.upf
Mo 95.94 Mo.upf
Se 78.96 Se.upf
CELL_PARAMETERS angstrom
0.0000 3.0384 3.0384
3.0384 0.0000 3.0384
3.0384 3.0384 0.0000
ATOMIC_POSITIONS crystal
Mg 0.0000 0.0000 0.0000
Mo 0.5000 0.5000 0.5000
Se 0.2500 0.2500 0.2500

***

Computed stability ranking, most favorable first: b, a, c

***

a | ! YMgMo2Se PBE-GGA relaxed; values from VASP
! DOS(E_F): 1.486 states/eV/atom
&SYSTEM
  ibrav = 0, nat = 5, ntyp = 4
/
ATOMIC_SPECIES
Y 88.91 Y.upf
Mg 24.30 Mg.upf
Mo 95.94 Mo.upf
Se 78.96 Se.upf
CELL_PARAMETERS angstrom
4.6947 0.0000 0.0000
0.0000 4.6947 0.0000
0.0000 0.0000 5.2536
ATOMIC_POSITIONS crystal
Y 0.0000 0.0000 0.0000
Mg 0.5000 0.5000 0.0000
Mo 0.0000 0.5000 0.5000
Mo 0.5000 0.0000 0.5000
Se 0.0000 0.0000 0.5000

***

b | ! YMgMo2Se PBE-GGA relaxed; values from VASP
! DOS(E_F): 0.979 states/eV/atom
&SYSTEM
  ibrav = 0, nat = 5, ntyp = 4
/
ATOMIC_SPECIES
Y 88.91 Y.upf
Mg 24.30 Mg.upf
Mo 95.94 Mo.upf
Se 78.96 Se.upf
CELL_PARAMETERS angstrom
5.1484 0.0000 0.0000
0.0000 5.1484 0.0000
0.0000 0.0000 5.3034
ATOMIC_POSITIONS crystal
Y 0.0000 0.0000 0.0000
Mg 0.5000 0.5000 0.5000
Mo 0.0000 0.5000 0.0000
Mo 0.5000 0.0000 0.0000
Se 0.0000 0.0000 0.5000

***

Computed stability ranking, most favorable first: a, b

***

a | ! Mg3SiMo PBE-GGA relaxed; values from VASP
! DOS(E_F): 1.163 states/eV/atom
&SYSTEM
  ibrav = 0, nat = 5, ntyp = 3
/
ATOMIC_SPECIES
Mg 24.30 Mg.upf
Si 28.09 Si.upf
Mo 95.94 Mo.upf
CELL_PARAMETERS angstrom
5.1481 0.0000 0.0000
0.0000 5.1481 0.0000
0.0000 0.0000 5.1481
ATOMIC_POSITIONS crystal
Mg 0.0000 0.0000 0.5000
Mg 0.0000 0.5000 0.0000
Mg 0.5000 0.0000 0.0000
Si 0.5000 0.5000 0.5000
Mo 0.0000 0.0000 0.0000

***

b | ! Mg3SiMo PBE-GGA relaxed; values from VASP
! DOS(E_F): 0.580 states/eV/atom
&SYSTEM
  ibrav = 0, nat = 5, ntyp = 3
/
ATOMIC_SPECIES
Mg 24.30 Mg.upf
Si 28.09 Si.upf
Mo 95.94 Mo.upf
CELL_PARAMETERS angstrom
4.9658 0.0000 0.0000
0.0000 4.9658 0.0000
0.0000 0.0000 4.9658
ATOMIC_POSITIONS crystal
Mg 0.0000 0.0000 0.5000
Mg 0.0000 0.5000 0.0000
Mg 0.5000 0.0000 0.0000
Si 0.0000 0.0000 0.0000
Mo 0.5000 0.5000 0.5000

***

Computed stability ranking, most favorable first: b, a

***

a | ! MgSn3Mo PBE-GGA relaxed; values from VASP
! DOS(E_F): 0.545 states/eV/atom
&SYSTEM
  ibrav = 0, nat = 5, ntyp = 3
/
ATOMIC_SPECIES
Mg 24.30 Mg.upf
Sn 118.71 Sn.upf
Mo 95.94 Mo.upf
CELL_PARAMETERS angstrom
5.2900 0.0000 0.0000
0.0000 5.2900 0.0000
0.0000 0.0000 5.2900
ATOMIC_POSITIONS crystal
Mg 0.0000 0.0000 0.0000
Sn 0.0000 0.0000 0.5000
Sn 0.0000 0.5000 0.0000
Sn 0.5000 0.0000 0.0000
Mo 0.5000 0.5000 0.5000

***

b | ! MgSn3Mo PBE-GGA relaxed; values from VASP
! DOS(E_F): 0.036 states/eV/atom
&SYSTEM
  ibrav = 0, nat = 5, ntyp = 3
/
ATOMIC_SPECIES
Mg 24.30 Mg.upf
Sn 118.71 Sn.upf
Mo 95.94 Mo.upf
CELL_PARAMETERS angstrom
5.2895 0.0000 0.0000
0.0000 5.2895 0.0000
0.0000 0.0000 5.2895
ATOMIC_POSITIONS crystal
Mg 0.0000 0.0000 0.0000
Sn 0.0000 0.5000 0.5000
Sn 0.5000 0.0000 0.5000
Sn 0.5000 0.5000 0.0000
Mo 0.5000 0.5000 0.5000

***

Computed stability ranking, most favorable first: b, a

***

a | ! SrMg6Mo PBE-GGA relaxed; values from VASP
! DOS(E_F): 0.361 states/eV/atom
&SYSTEM
  ibrav = 0, nat = 8, ntyp = 3
/
ATOMIC_SPECIES
Sr 87.62 Sr.upf
Mg 24.30 Mg.upf
Mo 95.94 Mo.upf
CELL_PARAMETERS angstrom
6.5978 0.0000 0.0000
0.0000 6.5978 0.0000
0.0000 0.0000 4.3074
ATOMIC_POSITIONS crystal
Sr 0.0000 0.0000 0.0000
Mg 0.0000 0.5000 0.0000
Mg 0.2829 0.2829 0.5000
Mg 0.2829 0.7171 0.5000
Mg 0.5000 0.0000 0.0000
Mg 0.7171 0.2829 0.5000
Mg 0.7171 0.7171 0.5000
Mo 0.5000 0.5000 0.0000

***

b | ! SrMg6Mo PBE-GGA relaxed; values from VASP
! DOS(E_F): 0.687 states/eV/atom
&SYSTEM
  ibrav = 0, nat = 8, ntyp = 3
/
ATOMIC_SPECIES
Sr 87.62 Sr.upf
Mg 24.30 Mg.upf
Mo 95.94 Mo.upf
CELL_PARAMETERS angstrom
5.1230 0.0000 0.0000
0.0000 3.2905 5.6789
0.0000 -3.2905 5.6789
ATOMIC_POSITIONS crystal
Sr 0.0000 0.0000 0.0000
Mg 0.0000 0.4986 0.4986
Mg 0.0000 0.5273 0.9822
Mg 0.0000 0.9822 0.5273
Mg 0.5000 0.3318 0.3318
Mg 0.5000 0.3634 0.8253
Mg 0.5000 0.8253 0.3634
Mo 0.5000 0.8229 0.8229

***

Computed stability ranking, most favorable first: a, b

***

a | ! MgTaMo PBE-GGA relaxed; values from VASP
! DOS(E_F): 1.195 states/eV/atom
&SYSTEM
  ibrav = 0, nat = 3, ntyp = 3
/
ATOMIC_SPECIES
Mg 24.30 Mg.upf
Ta 180.95 Ta.upf
Mo 95.94 Mo.upf
CELL_PARAMETERS angstrom
0.0000 3.1502 3.1502
3.1502 0.0000 3.1502
3.1502 3.1502 0.0000
ATOMIC_POSITIONS crystal
Mg 0.0000 0.0000 0.0000
Ta 0.5000 0.5000 0.5000
Mo 0.2500 0.2500 0.2500

***

b | ! MgTaMo PBE-GGA relaxed; values from VASP
! DOS(E_F): 0.709 states/eV/atom
&SYSTEM
  ibrav = 0, nat = 3, ntyp = 3
/
ATOMIC_SPECIES
Mg 24.30 Mg.upf
Ta 180.95 Ta.upf
Mo 95.94 Mo.upf
CELL_PARAMETERS angstrom
-1.3523 2.2605 4.3101
1.3523 -2.2605 4.3101
1.3523 2.2605 -4.3101
ATOMIC_POSITIONS crystal
Mg 0.0000 0.0000 0.0000
Ta 0.3310 0.3310 0.0000
Mo 0.6656 0.6656 0.0000

***

c | ! MgTaMo PBE-GGA relaxed; values from VASP
! DOS(E_F): 0.720 states/eV/atom
&SYSTEM
  ibrav = 0, nat = 3, ntyp = 3
/
ATOMIC_SPECIES
Mg 24.30 Mg.upf
Ta 180.95 Ta.upf
Mo 95.94 Mo.upf
CELL_PARAMETERS angstrom
-1.3667 1.3667 7.1778
1.3667 -1.3667 7.1778
1.3667 1.3667 -7.1778
ATOMIC_POSITIONS crystal
Mg 0.0000 0.0000 0.0000
Ta 0.3260 0.3260 0.0000
Mo 0.6624 0.6624 0.0000

***

Computed stability ranking, most favorable first: b, c, a